# Tl2NiCl3F

A relaxed Tl2NiCl3F crystal (PBE with a Hubbard U, Alexandria).

Results
- final energy (eV per formula unit) = -23.031

Unit cell a=8.9045 b=8.9045 c=8.9045 alpha=153.47 beta=146.80 gamma=43.00
Positions (direct):
1 Tl 0.1466 0.1466 0.0000
2 Tl 0.8534 0.8534 0.0000
3 Ni 0.5000 0.5000 0.0000
4 Cl 0.0000 0.5000 0.5000
5 Cl 0.3528 0.3528 0.0000
6 Cl 0.6472 0.6472 0.0000
7 F 0.5000 0.0000 0.5000